1.
Compound: SnAu15
Source: the Open Quantum Materials Database
Functional: GGA-PBE
Structure: relaxed

Values from the calculation:
The distance to the lowest polymorph of the same formula comes out at 0 meV per atom. The calculated total energy comes out at -3.30 eV/atom.

a b c (Å): 4.1196 4.1187 46.2293
angles (deg): 90.00 90.00 90.00
Space group Pmma (No. 51)
Inequivalent atoms, fractional coordinates:
Sn: 0.2500 0.0000 0.1510 [2 per cell]
Au: 0.2500 0.0000 0.2503 [2 per cell]
Au: 0.2500 0.0000 0.3416 [2 per cell]
Au: 0.2500 0.0000 0.4323 [2 per cell]
Au: 0.2500 0.0000 0.5225 [2 per cell]
Au: 0.2500 0.0000 0.6130 [2 per cell]
Au: 0.2500 0.0000 0.7038 [2 per cell]
Au: 0.2500 0.0000 0.7958 [2 per cell]
Au: 0.2500 0.5000 0.2043 [2 per cell]
Au: 0.2500 0.5000 0.2962 [2 per cell]
Au: 0.2500 0.5000 0.3870 [2 per cell]
Au: 0.2500 0.5000 0.4775 [2 per cell]
Au: 0.2500 0.5000 0.5677 [2 per cell]
Au: 0.2500 0.5000 0.6583 [2 per cell]
Au: 0.2500 0.5000 0.7493 [2 per cell]
Au: 0.2500 0.5000 0.8420 [2 per cell]

---

2.
Compound: InAgSO
Source: the Open Quantum Materials Database
Functional: GGA-PBE
Structure: relaxed

Values from the calculation:
The distance to the lowest polymorph of the same formula comes out at 6 meV per atom. The calculated total energy comes out at -4.34 eV/atom.

a b c (Å): 5.5319 5.5257 10.5334
angles (deg): 90.00 90.55 90.00
Space group P2_1 (No. 4)
Inequivalent atoms, fractional coordinates:
In: 0.0019 0.0000 0.0994 [2 per cell]
In: 0.4983 0.0000 0.9001 [2 per cell]
Ag: 0.1921 0.2699 0.4983 [2 per cell]
Ag: 0.5001 0.0154 0.2994 [2 per cell]
S: 0.1977 0.3094 0.2732 [2 per cell]
S: 0.1995 0.2189 0.7228 [2 per cell]
O: 0.2474 0.7496 0.9999 [2 per cell]
O: 0.2555 0.2480 0.9994 [2 per cell]

---

3.
Compound: LuHgTe3Au
Source: the Open Quantum Materials Database
Functional: GGA-PBE
Structure: relaxed

Values from the calculation:
The value obtained for the spin magnetization is 0.0 μB/f.u. The calculated total energy comes out at -3.43 eV/atom.

a b c (Å): 4.0490 15.3434 10.8469
angles (deg): 90.00 90.00 90.00
Space group Cmcm (No. 63)
Inequivalent atoms, fractional coordinates:
Lu: 0.0000 0.0000 0.0000 [4 per cell]
Hg: 0.0000 0.2408 0.2500 [4 per cell]
Te: 0.0000 0.0997 0.7500 [4 per cell]
Te: 0.0000 0.3586 0.5573 [8 per cell]
Au: 0.0000 0.4749 0.7500 [4 per cell]

---

4.
Compound: Zr3AgS5
Source: the Open Quantum Materials Database
Functional: GGA-PBE
Structure: relaxed

Values from the calculation:
The value obtained for the spin magnetization is 0.0 μB/f.u. The calculated total energy comes out at -6.29 eV/atom.

a b c (Å): 6.1604 6.1604 6.7888
angles (deg): 90.00 90.00 120.00
Space group P6/mmm (No. 191)
Inequivalent atoms, fractional coordinates:
Zr: 0.0000 0.5000 0.0000 [3 per cell]
Ag: 0.0000 0.0000 0.5000 [1 per cell]
S: 0.0000 0.0000 0.0000 [1 per cell]
S: 0.3333 0.6667 0.2690 [4 per cell]

---

5.
Compound: ZrIn2Ga
Source: the Open Quantum Materials Database
Functional: GGA-PBE
Structure: relaxed

Values from the calculation:
The value obtained for the spin magnetization is 0.1 μB/f.u. The calculated total energy comes out at -4.12 eV/atom.

a b c (Å): 7.1207 7.1207 7.1207
angles (deg): 90.00 90.00 90.00
Space group F-43m (No. 216)
Inequivalent atoms, fractional coordinates:
Zr: 0.0000 0.0000 0.0000 [4 per cell]
In: 0.0000 0.0000 0.5000 [4 per cell]
In: 0.2500 0.2500 0.2500 [4 per cell]
Ga: 0.2500 0.2500 0.7500 [4 per cell]

---

6.
Compound: SrAlPd
Source: the Open Quantum Materials Database
Functional: GGA-PBE
Structure: relaxed

Values from the calculation:
The calculated total energy comes out at -3.16 eV/atom.

a b c (Å): 7.0447 7.0447 7.0447
angles (deg): 90.00 90.00 90.00
Space group F-43m (No. 216)
Inequivalent atoms, fractional coordinates:
Sr: 0.0000 0.0000 0.0000 [4 per cell]
Al: 0.2500 0.2500 0.7500 [4 per cell]
Pd: 0.2500 0.2500 0.2500 [4 per cell]

---

> calculated total energy of number 4 (Zr3AgS5)?

-6.29 eV/atom